Material: Ni2RhS4
Method: DFT, PBE
State: optimized geometry

It has space group Imma (No. 74), with a = 6.770 Å, b = 6.822 Å, c = 9.592 Å, α = 90.00°, β = 90.00° and γ = 90.00°. The asymmetric unit holds Ni at (0.000, 0.250, 0.125), Ni at (0.250, 0.250, 0.750), Rh at (0.000, 0.000, 0.500), S at (0.000, 0.017, 0.747) and S at (0.240, 0.250, 0.511).

As for the total energy: -5.4754 eV per atom. The calculation puts the uncorrected formation energy at -415 meV/atom.

***

Material: NiRh2S6
Method: DFT, PBE
State: optimized geometry

It has space group P4_2/mnm (No. 136), with a = 5.336 Å, b = 5.336 Å, c = 10.973 Å, α = 90.00°, β = 90.00° and γ = 90.00°. The asymmetric unit holds Ni at (0.000, 0.000, 0.000), Rh at (0.000, 0.000, 0.334), S at (0.189, 0.189, 0.163) and S at (0.201, 0.201, 0.500).

As for the total energy: -5.1296 eV per atom. The calculation puts the uncorrected formation energy at -102 meV/atom.

***

Material: Ni2RhS
Method: DFT, PBE
State: optimized geometry

It has space group I-42d (No. 122), with a = 6.616 Å, b = 6.616 Å, c = 4.678 Å, α = 90.00°, β = 90.00° and γ = 90.00°. The asymmetric unit holds Ni at (0.199, 0.250, 0.125), Rh at (0.000, 0.000, 0.500) and S at (0.000, 0.000, 0.000).

As for the total energy: -5.7910 eV per atom. The calculation puts the uncorrected formation energy at -31 meV/atom.

***

Material: Ni3RhS
Method: DFT, PBE
State: optimized geometry

It has space group Pm-3m (No. 221), with a = 4.087 Å, b = 4.087 Å, c = 4.087 Å, α = 90.00°, β = 90.00° and γ = 90.00°. The asymmetric unit holds Ni at (0.000, 0.000, 0.500), Rh at (0.500, 0.500, 0.500) and S at (0.000, 0.000, 0.000).

As for the total energy: -5.5092 eV per atom. The calculation puts the uncorrected formation energy at 255 meV/atom. As for the energy above the lowest structure with this stoichiometry: 0.0 kJ/mol of atoms.

***

Material: SiNi2RhS
Method: DFT, PBE
State: optimized geometry

It has space group P4/mmm (No. 123), with a = 4.217 Å, b = 4.217 Å, c = 4.451 Å, α = 90.00°, β = 90.00° and γ = 90.00°. The asymmetric unit holds Si at (0.000, 0.000, 0.000), Ni at (0.000, 0.500, 0.000), Rh at (0.000, 0.000, 0.500) and S at (0.500, 0.500, 0.500).

As for the total energy: -5.1662 eV per atom. The calculation puts the uncorrected formation energy at 527 meV/atom.

***

Material: Ta2NiRhS
Method: DFT, PBE
State: optimized geometry

It has space group P4/mmm (No. 123), with a = 4.865 Å, b = 4.865 Å, c = 4.300 Å, α = 90.00°, β = 90.00° and γ = 90.00°. The asymmetric unit holds Ta at (0.000, 0.500, 0.000), Ni at (0.000, 0.000, 0.500), Rh at (0.500, 0.500, 0.000) and S at (0.500, 0.500, 0.500).

As for the total energy: -6.8713 eV per atom. The calculation puts the uncorrected formation energy at 1322 meV/atom.

***

Material: Tl3NiRh2S6
Method: DFT, PBE
State: optimized geometry

It has space group C2/m (No. 12), with a = 6.223 Å, b = 10.748 Å, c = 7.651 Å, α = 90.00°, β = 105.45° and γ = 90.00°. The asymmetric unit holds Tl at (0.000, 0.000, 0.000), Tl at (0.000, 0.332, 0.000), Ni at (0.000, 0.500, 0.500), Rh at (0.000, 0.167, 0.500), S at (0.214, 0.338, 0.657) and S at (0.227, 0.000, 0.660).

As for the total energy: -4.6988 eV per atom. The calculation puts the uncorrected formation energy at -336 meV/atom.

***

Material: Tl4NiRh3S8
Method: DFT, PBE
State: optimized geometry

It has space group C2/m (No. 12), with a = 12.586 Å, b = 7.255 Å, c = 8.329 Å, α = 90.00°, β = 120.41° and γ = 90.00°. The asymmetric unit holds Tl at (0.000, 0.000, 0.000), Tl at (0.000, 0.500, 0.000), Tl at (0.250, 0.250, 0.000), Ni at (0.000, 0.000, 0.500), Rh at (0.000, 0.500, 0.500), Rh at (0.250, 0.250, 0.500), S at (0.028, 0.245, 0.339), S at (0.217, 0.000, 0.660) and S at (0.222, 0.500, 0.664).

As for the total energy: -4.7405 eV per atom. The calculation puts the uncorrected formation energy at -346 meV/atom.

***

Which of these has the lowest uncorrected formation energy? Ni2RhS4